Here is a relaxed structure of LiCd2Ir from Alexandria via LeMat-Bulk. Energies are from PBE-GGA.

Lattice parameters (Å, degrees): 3.221 4.566 9.271 90.00 90.00 90.00
Space group Imm2 (No. 44)
One atom of each set of equivalent atoms:
Li 0.000 0.000 0.000 x2
Cd 0.000 0.000 0.477 x2
Cd 0.000 0.500 0.242 x2
Ir 0.000 0.500 0.726 x2

formation energy from the elements = -42 meV/atom
volume = 136.4 Å³/cell
raw total energy = -3.193 eV/atom